Entry 1:
VASP calculation (GGA-PBE) on crystalline TlCuSnSeS2 at its relaxed geometry.

Cell: 7.336 7.336 10.658 Å, 90.00 90.00 149.82°
Element x y z (fractional)
Cu 0.556 0.444 0.250
Cu 0.444 0.556 0.750
S 0.621 0.379 0.054
S 0.621 0.379 0.446
S 0.379 0.621 0.554
S 0.379 0.621 0.946
Se 0.937 0.063 0.250
Se 0.063 0.937 0.750
Sn 0.000 0.000 0.000
Sn 0.000 0.000 0.500
Tl 0.252 0.748 0.250
Tl 0.748 0.252 0.750

## Properties
SG = No. 63
total DFT energy (no corrections) = -3.9299 eV per atom

***

Entry 2:
VASP calculation (GGA-PBE) on crystalline TlCuSnSe2S at its relaxed geometry.

Cell: 7.022 7.022 10.783 Å, 90.00 90.00 147.32°
Element x y z (fractional)
Cu 0.445 0.555 0.250
Cu 0.555 0.445 0.750
S 0.039 0.961 0.250
S 0.961 0.039 0.750
Se 0.361 0.639 0.047
Se 0.361 0.639 0.453
Se 0.639 0.361 0.547
Se 0.639 0.361 0.953
Sn 0.000 0.000 0.000
Sn 0.000 0.000 0.500
Tl 0.723 0.277 0.250
Tl 0.277 0.723 0.750

## Properties
SG = No. 63
total DFT energy (no corrections) = -3.8377 eV per atom

***

Entry 3:
VASP calculation (GGA-PBE) on crystalline YCuSnSeS2 at its relaxed geometry.

Cell: 6.886 6.886 10.410 Å, 90.00 90.00 147.20°
Element x y z (fractional)
Cu 0.033 0.967 0.250
Cu 0.967 0.033 0.750
S 0.137 0.863 0.070
S 0.137 0.863 0.430
S 0.863 0.137 0.570
S 0.863 0.137 0.930
Se 0.412 0.588 0.250
Se 0.588 0.412 0.750
Sn 0.730 0.270 0.250
Sn 0.270 0.730 0.750
Y 0.500 0.500 0.000
Y 0.500 0.500 0.500

## Properties
SG = No. 63
total DFT energy (no corrections) = -5.3254 eV per atom
magnetization = 0.008 μB per cell